Material: AlPt
Method: DFT, PBE
State: relaxed

```
data_AlPt
_chemical_formula_sum 'Al16 Pt16'
_cell_length_a 5.735
_cell_length_b 9.773
_cell_length_c 13.366
_cell_angle_alpha 90.00
_cell_angle_beta 90.00
_cell_angle_gamma 90.00
_symmetry_space_group_name_H-M 'F d d d'
_symmetry_Int_Tables_number 70
loop_
_symmetry_equiv_pos_as_xyz
'x,y,z'
'-x,-y,-z'
'-x+1/4,-y+1/4,z'
'x+1/4,y+1/4,-z'
'x,-y+1/4,-z+1/4'
'-x,y+1/4,z+1/4'
'-x+1/4,y,-z+1/4'
'x+1/4,-y,z+1/4'
'x,y+1/2,z+1/2'
'-x,-y+1/2,-z+1/2'
'-x+1/4,-y+3/4,z+1/2'
'x+1/4,y+3/4,-z+1/2'
'x,-y+3/4,-z+3/4'
'-x,y+3/4,z+3/4'
'-x+1/4,y+1/2,-z+3/4'
'x+1/4,-y+1/2,z+3/4'
'x+1/2,y,z+1/2'
'-x+1/2,-y,-z+1/2'
'-x+3/4,-y+1/4,z+1/2'
'x+3/4,y+1/4,-z+1/2'
'x+1/2,-y+1/4,-z+3/4'
'-x+1/2,y+1/4,z+3/4'
'-x+3/4,y,-z+3/4'
'x+3/4,-y,z+3/4'
'x+1/2,y+1/2,z'
'-x+1/2,-y+1/2,-z'
'-x+3/4,-y+3/4,z'
'x+3/4,y+3/4,-z'
'x+1/2,-y+3/4,-z+1/4'
'-x+1/2,y+3/4,z+1/4'
'-x+3/4,y+1/2,-z+1/4'
'x+3/4,-y+1/2,z+1/4'
loop_
_atom_site_label
_atom_site_type_symbol
_atom_site_fract_x
_atom_site_fract_y
_atom_site_fract_z
Al1 Al 0.125 0.331 0.125
Pt1 Pt 0.125 0.125 0.015
```

energy of formation from the pure elements: -471 meV/atom
total magnetization: 0.00 μB/f.u.